No. 1
Density functional theory data (PBE-GGA) for a relaxed structure of NaTlAg.

a b c (Å): 5.0733 5.0733 3.2798
angles (deg): 90.00 90.00 120.00
Last column: nearest neighbours and their distance in Å.
Space group P3m1 (No. 156)
Symmetry-distinct sites (fractional):
Na  0.0000  0.0000  0.0000 x1  2 Na 3.28, 6 Ag 3.35-3.36, 6 Tl 3.35-3.36
Tl  0.6667  0.3333  0.4987 x1  3 Ag 2.93, 2 Tl 3.28
Ag  0.3333  0.6667  0.4981 x1  3 Tl 2.93, 2 Ag 3.28

Output
* calculated density: 7.6 g/cm3
* total magnetic moment: 0.00 μB per cell
* formation energy: -33.4 meV/atom
* D(E_F): 1.00 states/eV/cell



No. 2
Density functional theory data (PBE-GGA) for a relaxed structure of LaTcRh2.

a b c (Å): 2.8875 2.8875 29.0457
angles (deg): 90.00 90.00 120.00
Last column: nearest neighbours and their distance in Å.
Space group R3m (No. 160, hexagonal axes)
Symmetry-distinct sites (fractional):
La  0.0000  0.0000  0.0000 x3  6 La 2.89, 3 Rh 3.08
Tc  0.0000  0.0000  0.2358 x3  3 Rh 2.61, 6 Tc 2.89
Rh  0.0000  0.0000  0.5000 x3  3 Tc 2.61, 9 Rh 2.80-2.89
Rh  0.0000  0.0000  0.7558 x3  9 Rh 2.80-2.89, 3 La 3.08

Output
* calculated density: 10.5 g/cm3
* total magnetic moment: 1.24 μB per cell
* formation energy: 408.8 meV/atom
* D(E_F): 18.36 states/eV/cell



No. 3
Density functional theory data (PBE-GGA) for a relaxed structure of TlNi2Bi.

a b c (Å): 4.5600 4.5600 16.6512
angles (deg): 90.00 90.00 90.00
Last column: nearest neighbours and their distance in Å.
Space group I-42d (No. 122)
Symmetry-distinct sites (fractional):
Tl  0.0000  0.0000  0.0000 x4  4 Ni 2.68
Ni  0.2265  0.2500  0.6250 x8  2 Bi 2.59, 2 Tl 2.68
Bi  0.0000  0.0000  0.5000 x4  4 Ni 2.59

Output
* calculated density: 10.2 g/cm3
* total magnetic moment: 0.00 μB per cell
* formation energy: 484.1 meV/atom
* D(E_F): 11.35 states/eV/cell



No. 4
Density functional theory data (PBE-GGA) for a relaxed structure of AgBiPd5.

a b c (Å): 4.0064 4.0064 7.9079
angles (deg): 90.00 90.00 90.00
Last column: nearest neighbours and their distance in Å.
Space group P4/mmm (No. 123)
Symmetry-distinct sites (fractional):
Ag  0.0000  0.0000  0.0000 x1  12 Pd 2.83-2.85
Bi  0.5000  0.5000  0.5000 x1  8 Pd 2.78
Pd  0.0000  0.5000  0.2563 x4  2 Bi 2.78, 6 Pd 2.83-2.85, 2 Ag 2.85
Pd  0.5000  0.5000  0.0000 x1  4 Ag 2.83, 8 Pd 2.85

Output
* calculated density: 11.1 g/cm3
* total magnetic moment: 0.00 μB per cell
* formation energy: -101.1 meV/atom
* D(E_F): 5.97 states/eV/cell



No. 5
Density functional theory data (PBE-GGA) for a relaxed structure of Y5Ho2Ru5.

a b c (Å): 4.8565 4.8565 39.2816
angles (deg): 90.00 90.00 120.00
Last column: nearest neighbours and their distance in Å.
Space group R-3m (No. 166, hexagonal axes)
Symmetry-distinct sites (fractional):
Y  0.0000  0.0000  0.0000 x3  6 Ru 2.93
Y  0.0000  0.0000  0.1904 x6  7 Ru 2.96-3.03
Y  0.0000  0.0000  0.2841 x6  4 Ru 2.79-3.00
Ho  0.0000  0.0000  0.4280 x6  5 Ru 2.83-2.90
Ru  0.0000  0.0000  0.1138 x6  3 Ho 2.90, 4 Y 3.01-3.03
Ru  0.0000  0.0000  0.3552 x6  7 Y 2.79-3.00, 1 Ho 2.86
Ru  0.0000  0.0000  0.5000 x3  2 Ho 2.83, 6 Y 2.96

Output
* calculated density: 7.9 g/cm3
* total magnetic moment: 0.00 μB per cell
* formation energy: -203.9 meV/atom
* D(E_F): 25.82 states/eV/cell



No. 6
Density functional theory data (PBE-GGA) for a relaxed structure of KScSi3.

a b c (Å): 5.1390 5.1390 5.1390
angles (deg): 90.00 90.00 90.00
Last column: nearest neighbours and their distance in Å.
Space group Pm-3m (No. 221)
Symmetry-distinct sites (fractional):
K  0.0000  0.0000  0.0000 x1  12 Si 3.63
Sc  0.5000  0.5000  0.5000 x1  6 Si 2.57
Si  0.0000  0.5000  0.5000 x3  2 Sc 2.57

Output
* calculated density: 2.1 g/cm3
* formation energy (no corrections): 0.486 eV per atom
* total magnetic moment: 0.00 μB per cell
* D(E_F): 2.53 states/eV/cell



No. 7
Density functional theory data (PBE-GGA) for a relaxed structure of Mg3HIr4.

a b c (Å): 5.5953 5.5953 4.4293
angles (deg): 90.00 90.00 120.00
Last column: nearest neighbours and their distance in Å.
Space group P3 (No. 143)
Symmetry-distinct sites (fractional):
Mg  0.0347  0.3635  0.0000 x3  1 H 2.51, 4 Ir 2.58-2.79
H  0.6667  0.3333  0.6534 x1  3 Ir 1.85
Ir  0.3150  0.1967  0.4978 x3  1 H 1.85
Ir  0.3333  0.6667  0.4983 x1  3 Ir 2.58, 6 Mg 2.78-2.79

Output
* calculated density: 11.7 g/cm3
* VASP energy: -5.648 eV/atom
* total magnetic moment: 0.00 μB per cell
* D(E_F): 8.07 states/eV/cell